# GdDy2Zn, relaxed, DFT PBE
# Calculated volume (Å³ per atom): 27.5
# Final energy (eV per atom): -6.297
# Energy above the lowest structure with this stoichiometry (eV/atom): 0.000
# Fermi-level density of states (states/eV/f.u.): 4.824
# Space-group type: P4/mmm
data_GdDy2Zn
_symmetry_space_group_name_H-M 'P 1'
_symmetry_Int_Tables_number 1
_cell_length_a 3.564
_cell_length_b 3.564
_cell_length_c 8.647
_cell_angle_alpha 90.00
_cell_angle_beta 90.00
_cell_angle_gamma 90.00
loop_
_symmetry_equiv_pos_as_xyz
'x,y,z'
loop_
_atom_site_label
_atom_site_type_symbol
_atom_site_fract_x
_atom_site_fract_y
_atom_site_fract_z
Gd1 Gd 0.500 0.500 0.500
Dy1 Dy 0.000 0.000 0.205
Dy2 Dy 0.000 0.000 0.795
Zn1 Zn 0.500 0.500 0.000